Record 1
## KRuRh2 (PBE-GGA)

Data for a relaxed KRuRh2 crystal.

Output
Crystal system = tetragonal
Formation energy = 960 meV per atom
Space-group type = No. 123
ρ = 8.5 g/cm3
Electronic total energy = -5.310 eV/atom

Cell: 2.7789 4.9309 4.9309 Å, 90.00 90.00 90.00°
Last column: nearest neighbours and their distance in Å.
Atoms (fractional coordinates):
K1 0.5000 0.0000 0.5000  2 K 2.78, 8 Rh 2.83
Rh1 0.0000 0.0000 0.0000  2 Rh 2.78, 4 K 2.83, 4 Ru 2.83
Rh2 0.0000 0.5000 0.5000  2 Rh 2.78, 4 K 2.83, 4 Ru 2.83
Ru1 0.5000 0.5000 0.0000  2 Ru 2.78, 8 Rh 2.83

---

Record 2
## Sr2In2Sn (PBE-GGA)

Data for a relaxed Sr2In2Sn crystal.

Output
Crystal system = monoclinic
Formation energy = -462 meV per atom
Space-group type = No. 12
ρ = 5.1 g/cm3
Electronic total energy = -3.030 eV/atom

Cell: 4.7812 6.7480 11.4726 Å, 82.76 77.97 69.25°
Last column: nearest neighbours and their distance in Å.
Atoms (fractional coordinates):
Sr1 0.7076 0.2557 0.3290  5 In 3.42-3.58, 3 Sn 3.58-3.64
Sr2 0.9054 0.2956 0.8935  2 Sn 3.43, 5 In 3.46-3.68
Sr3 0.2924 0.7443 0.6710  5 In 3.42-3.58, 3 Sn 3.58-3.64
Sr4 0.0946 0.7044 0.1065  2 Sn 3.43, 5 In 3.46-3.68
In1 0.0874 0.2788 0.5464  1 In 2.92, 2 Sn 2.92
In2 0.6265 0.8525 0.8945  1 Sn 3.00, 1 In 3.09
In3 0.9126 0.7212 0.4536  1 In 2.92, 2 Sn 2.92
In4 0.3735 0.1475 0.1055  1 Sn 3.00, 1 In 3.09
Sn1 0.5677 0.1765 0.6882  3 In 2.92-3.00
Sn2 0.4323 0.8235 0.3118  3 In 2.92-3.00

---

Record 3
## BaMnRe2 (PBE-GGA)

Data for a relaxed BaMnRe2 crystal.

Output
Crystal system = cubic
Formation energy = 1672 meV per atom
Space-group type = No. 225
ρ = 13.4 g/cm3
Electronic total energy = -7.325 eV/atom

Cell: 4.6301 4.6301 4.6301 Å, 60.00 60.00 60.00°
Last column: nearest neighbours and their distance in Å.
Atoms (fractional coordinates):
Re1 0.2500 0.2500 0.2500  4 Ba 2.84, 4 Mn 2.84
Re2 0.7500 0.7500 0.7500  4 Mn 2.84, 4 Ba 2.84
Mn1 0.0000 0.0000 0.0000  8 Re 2.84
Ba1 0.5000 0.5000 0.5000  8 Re 2.84